Entry 1:
The following is a DFT calculation (PBE-GGA) of a relaxed structure of CeSmDyTm.

Cell lengths 5.6546, 5.6546, 5.6546 Å; angles 60.00, 60.00, 60.00 degrees
Each line ends with the local moment (μB).
Positions (direct):
Dy 0.7500 0.7500 0.7500  0.03
Ce 0.5000 0.5000 0.5000  0.62
Tm 0.2500 0.2500 0.2500  0.02
Sm 0.0000 0.0000 0.0000  0.01

Output
energy of formation from the pure elements	15.5	kJ per mole of atoms
uncorrected energy	-4.7712	eV per atom
size of the total moment	0.204	μB per atom
SG	No. 216
DOS(E_F)	9.862	states/eV per cell

=====

Entry 2:
The following is a DFT calculation (PBE-GGA) of a relaxed structure of CeSm2DyTm.

Cell lengths 8.1466, 6.6395, 6.0982 Å; angles 89.48, 90.00, 90.00 degrees
Each line ends with the local moment (μB).
Positions (direct):
Ce 0.0000 0.0000 0.5000  0.32
Ce 0.0000 0.0000 0.0000  0.32
Tm 0.8757 0.5000 0.2500  0.01
Tm 0.1243 0.5000 0.7500  0.01
Sm 0.6895 0.7370 0.7536  0.01
Sm 0.3105 0.2630 0.2464  0.01
Sm 0.6895 0.2630 0.7464  0.01
Sm 0.3105 0.7370 0.2536  0.01
Dy 0.3532 0.0000 0.7500  0.01
Dy 0.6468 0.0000 0.2500  0.01

Output
energy of formation from the pure elements	27.9	kJ per mole of atoms
uncorrected energy	-4.6000	eV per atom
size of the total moment	0.091	μB per atom
SG	No. 13
DOS(E_F)	21.759	states/eV per cell

=====

Entry 3:
The following is a DFT calculation (PBE-GGA) of a relaxed structure of Ce2SmDy3Tm6.

Cell lengths 6.0916, 6.0916, 11.6095 Å; angles 95.02, 95.02, 119.98 degrees
Each line ends with the local moment (μB).
Positions (direct):
Ce 0.6667 0.3333 0.0000  0.71
Ce 0.3333 0.6667 0.0000  0.71
Tm 0.5806 0.9162 0.7501  0.01
Tm 0.9162 0.5806 0.7501  0.01
Tm 0.4194 0.0838 0.2499  0.01
Tm 0.2519 0.2519 0.7502  0.01
Tm 0.0838 0.4194 0.2499  0.01
Tm 0.7481 0.7481 0.2498  0.01
Dy 0.5000 0.5000 0.5000  -0.03
Dy 0.8339 0.1661 0.5000  -0.02
Dy 0.1661 0.8339 0.5000  -0.02
Sm 0.0000 0.0000 0.0000  0.01

Output
energy of formation from the pure elements	4.7	kJ per mole of atoms
uncorrected energy	-4.7198	eV per atom
size of the total moment	0.147	μB per atom
SG	No. 12
DOS(E_F)	21.139	states/eV per cell

=====

Entry 4:
The following is a DFT calculation (PBE-GGA) of a relaxed structure of CeSm2Dy4Tm.

Cell lengths 3.5545, 6.1491, 11.7679 Å; angles 79.90, 90.00, 90.00 degrees
Each line ends with the local moment (μB).
Positions (direct):
Sm 0.0000 0.0000 0.0000  0.01
Sm 0.5000 0.0000 0.5000  -0.01
Dy 0.5000 0.2535 0.7493  0.00
Dy 0.0000 0.2538 0.2488  0.01
Dy 0.5000 0.7465 0.2507  0.00
Dy 0.0000 0.7462 0.7512  0.01
Tm 0.0000 0.5000 0.5000  -0.01
Ce 0.5000 0.5000 0.0000  0.66

Output
energy of formation from the pure elements	4.0	kJ per mole of atoms
uncorrected energy	-4.7396	eV per atom
size of the total moment	0.097	μB per atom
SG	No. 10
DOS(E_F)	13.732	states/eV per cell

=====

Entry 5:
The following is a DFT calculation (PBE-GGA) of a relaxed structure of CeSm6DyTm2.

Cell lengths 8.8235, 6.9311, 6.6339 Å; angles 121.49, 102.21, 90.00 degrees
Each line ends with the local moment (μB).
Positions (direct):
Sm 0.2003 0.0647 0.6580  0.02
Sm 0.4181 0.6277 0.2554  0.04
Sm 0.7997 0.9353 0.3420  0.02
Sm 0.7997 0.4068 0.3420  0.02
Sm 0.2003 0.5933 0.6580  0.02
Sm 0.5819 0.3723 0.7446  0.04
Dy 0.5000 0.0000 0.0000  -0.01
Tm 0.8338 0.9101 0.8202  0.04
Tm 0.1662 0.0899 0.1798  0.04
Ce 0.0000 0.5000 0.0000  0.79

Output
energy of formation from the pure elements	23.9	kJ per mole of atoms
uncorrected energy	-4.5319	eV per atom
size of the total moment	0.147	μB per atom
SG	No. 12
DOS(E_F)	22.601	states/eV per cell

=====

Entry 6:
The following is a DFT calculation (PBE-GGA) of a relaxed structure of CeSm6Dy2Tm3.

Cell lengths 6.1976, 6.1976, 11.7952 Å; angles 95.03, 95.03, 120.01 degrees
Each line ends with the local moment (μB).
Positions (direct):
Sm 0.0834 0.4150 0.2514  0.01
Sm 0.5850 0.9166 0.7486  0.01
Sm 0.7519 0.7519 0.2516  0.01
Sm 0.2481 0.2481 0.7484  0.01
Sm 0.9166 0.5850 0.7486  0.01
Sm 0.4150 0.0834 0.2514  0.01
Tm 0.5000 0.5000 0.5000  -0.01
Tm 0.8328 0.1672 0.5000  -0.01
Tm 0.1672 0.8328 0.5000  -0.01
Ce 0.0000 0.0000 0.0000  0.82
Dy 0.6665 0.3335 0.0000  0.06
Dy 0.3335 0.6665 0.0000  0.06

Output
energy of formation from the pure elements	3.8	kJ per mole of atoms
uncorrected energy	-4.6993	eV per atom
size of the total moment	0.108	μB per atom
SG	No. 12
DOS(E_F)	18.984	states/eV per cell

=====

Entry 7:
The following is a DFT calculation (PBE-GGA) of a relaxed structure of CeSm3Dy2Y6.

Cell lengths 6.2088, 6.2088, 11.8367 Å; angles 95.01, 95.01, 119.98 degrees
Each line ends with the local moment (μB).
Positions (direct):
Y 0.5860 0.9172 0.7522  0.02
Y 0.0828 0.4140 0.2478  0.02
Y 0.2487 0.2487 0.7521  0.01
Y 0.9172 0.5860 0.7522  0.02
Y 0.4140 0.0828 0.2478  0.02
Y 0.7513 0.7513 0.2479  0.01
Ce 0.0000 0.0000 0.0000  0.78
Sm 0.1676 0.8324 0.5000  -0.01
Sm 0.8324 0.1676 0.5000  -0.01
Sm 0.5000 0.5000 0.5000  -0.01
Dy 0.3334 0.6666 0.0000  0.04
Dy 0.6666 0.3334 0.0000  0.04

Output
energy of formation from the pure elements	3.4	kJ per mole of atoms
uncorrected energy	-5.6386	eV per atom
size of the total moment	0.096	μB per atom
SG	No. 12
DOS(E_F)	19.302	states/eV per cell

=====

Entry 8:
The following is a DFT calculation (PBE-GGA) of a relaxed structure of CeSm6Dy2Y3.

Cell lengths 6.2330, 6.2330, 11.8938 Å; angles 95.02, 95.02, 120.00 degrees
Each line ends with the local moment (μB).
Positions (direct):
Sm 0.2488 0.2488 0.7509  0.01
Sm 0.0826 0.4140 0.2490  0.01
Sm 0.9174 0.5860 0.7510  0.01
Sm 0.4140 0.0826 0.2490  0.01
Sm 0.5860 0.9174 0.7510  0.01
Sm 0.7512 0.7512 0.2491  0.01
Ce 0.0000 0.0000 0.0000  0.82
Dy 0.6665 0.3335 0.0000  0.06
Dy 0.3335 0.6665 0.0000  0.06
Y 0.1672 0.8328 0.5000  -0.01
Y 0.8328 0.1672 0.5000  -0.01
Y 0.5000 0.5000 0.5000  -0.01

Output
energy of formation from the pure elements	3.6	kJ per mole of atoms
uncorrected energy	-5.2002	eV per atom
size of the total moment	0.107	μB per atom
SG	No. 12
DOS(E_F)	20.172	states/eV per cell

=====

Entry 9:
The following is a DFT calculation (PBE-GGA) of a relaxed structure of CeSmDy5Y2.

Cell lengths 8.1499, 8.4938, 8.4938 Å; angles 90.00, 90.00, 90.00 degrees
Each line ends with the local moment (μB).
Positions (direct):
Ce 0.0000 0.0000 0.5000  0.80
Ce 0.0000 0.5000 0.0000  0.80
Dy 0.5000 0.5000 0.5000  -0.07
Dy 0.5000 0.0000 0.0000  -0.07
Dy 0.7738 0.7009 0.7991  0.08
Dy 0.2262 0.2991 0.2009  0.08
Dy 0.7738 0.2009 0.7009  0.08
Dy 0.7738 0.7991 0.2991  0.08
Dy 0.7738 0.2991 0.2009  0.08
Dy 0.2262 0.7991 0.2991  0.08
Dy 0.2262 0.7009 0.7991  0.08
Dy 0.2262 0.2009 0.7009  0.08
Y 0.5000 0.1227 0.3773  -0.01
Y 0.5000 0.8773 0.6227  -0.01
Y 0.5000 0.3773 0.8773  -0.01
Y 0.5000 0.6227 0.1227  -0.01
Sm 0.0000 0.0000 0.0000  0.00
Sm 0.0000 0.5000 0.5000  0.00

Output
energy of formation from the pure elements	30.3	kJ per mole of atoms
uncorrected energy	-4.8630	eV per atom
size of the total moment	0.136	μB per atom
SG	No. 127
DOS(E_F)	32.206	states/eV per cell

=====

Entry 10:
The following is a DFT calculation (PBE-GGA) of a relaxed structure of Ce2SmDy6Y3.

Cell lengths 6.1544, 6.1544, 11.7753 Å; angles 95.00, 95.00, 120.00 degrees
Each line ends with the local moment (μB).
Positions (direct):
Sm 0.0000 0.0000 0.0000  0.01
Dy 0.9165 0.5805 0.7512  0.01
Dy 0.4195 0.0835 0.2488  0.01
Dy 0.0835 0.4195 0.2488  0.01
Dy 0.2525 0.2525 0.7511  0.01
Dy 0.7475 0.7475 0.2489  0.01
Dy 0.5805 0.9165 0.7512  0.01
Ce 0.3333 0.6667 0.0000  0.73
Ce 0.6667 0.3333 0.0000  0.73
Y 0.5000 0.5000 0.5000  -0.02
Y 0.1663 0.8337 0.5000  -0.02
Y 0.8337 0.1663 0.5000  -0.02

Output
energy of formation from the pure elements	4.9	kJ per mole of atoms
uncorrected energy	-5.2489	eV per atom
size of the total moment	0.151	μB per atom
SG	No. 12
DOS(E_F)	22.796	states/eV per cell

=====

Entry 11:
The following is a DFT calculation (PBE-GGA) of a relaxed structure of CeSm2DyY5.

Cell lengths 8.6191, 8.6191, 9.9175 Å; angles 115.76, 115.76, 90.00 degrees
Each line ends with the local moment (μB).
Positions (direct):
Y 0.1589 0.0617 0.7206  0.04
Y 0.4383 0.3411 0.2794  0.04
Y 0.8411 0.9383 0.2794  0.04
Y 0.0000 0.0000 0.0000  -0.01
Y 0.3411 0.8411 0.2794  0.04
Y 0.5617 0.6589 0.7206  0.04
Y 0.9383 0.4383 0.2794  0.04
Y 0.6589 0.1589 0.7206  0.04
Y 0.5000 0.5000 0.0000  -0.01
Y 0.0617 0.5617 0.7206  0.04
Sm 0.1203 0.3797 0.0000  -0.01
Sm 0.3797 0.8797 0.0000  -0.01
Sm 0.8797 0.6203 0.0000  -0.01
Sm 0.6203 0.1203 0.0000  -0.01
Ce 0.7500 0.2500 0.5000  0.73
Ce 0.2500 0.7500 0.5000  0.73
Dy 0.2500 0.2500 0.5000  0.01
Dy 0.7500 0.7500 0.5000  0.01

Output
energy of formation from the pure elements	25.5	kJ per mole of atoms
uncorrected energy	-5.5467	eV per atom
size of the total moment	0.115	μB per atom
SG	No. 140
DOS(E_F)	30.789	states/eV per cell

=====

Entry 12:
The following is a DFT calculation (PBE-GGA) of a relaxed structure of CeSm6Dy3Y2.

Cell lengths 6.2283, 6.2283, 11.8901 Å; angles 95.01, 95.01, 120.00 degrees
Each line ends with the local moment (μB).
Positions (direct):
Dy 0.5000 0.5000 0.5000  -0.01
Dy 0.1672 0.8328 0.5000  -0.01
Dy 0.8328 0.1672 0.5000  -0.01
Ce 0.0000 0.0000 0.0000  0.83
Y 0.6665 0.3335 0.0000  0.05
Y 0.3335 0.6665 0.0000  0.05
Sm 0.7523 0.7523 0.2508  0.01
Sm 0.4144 0.0833 0.2508  0.01
Sm 0.5856 0.9167 0.7492  0.01
Sm 0.2477 0.2477 0.7492  0.01
Sm 0.9167 0.5856 0.7492  0.01
Sm 0.0833 0.4144 0.2508  0.01

Output
energy of formation from the pure elements	3.6	kJ per mole of atoms
uncorrected energy	-5.0442	eV per atom
size of the total moment	0.112	μB per atom
SG	No. 12
DOS(E_F)	20.048	states/eV per cell

=====

> What is the formula in the ninth record?

CeSmDy5Y2

=====

> The lowest energy of formation from the pure elements belongs to which entry?

CeSm3Dy2Y6